# 1
The following is a DFT calculation (PBE) of a geometry-optimized PuMgIn2 structure.

Unit cell a=3.316 b=3.316 c=31.430 alpha=90.00 beta=90.00 gamma=120.00
Positions (direct):
Pu (0.000, 0.000, 0.000)
Pu (0.333, 0.667, 0.667)
Pu (0.667, 0.333, 0.333)
Mg (0.000, 0.000, 0.166)
Mg (0.333, 0.667, 0.833)
Mg (0.667, 0.333, 0.500)
In (0.000, 0.000, 0.578)
In (0.000, 0.000, 0.754)
In (0.333, 0.667, 0.245)
In (0.333, 0.667, 0.421)
In (0.667, 0.333, 0.088)
In (0.667, 0.333, 0.912)

The total DFT energy (no corrections) is -5.416 eV per atom. As for the energy of formation from the pure elements: -65 meV/atom. As for the space group: No. 160. For the theoretical density, the calculation gives 8.3 g/cm3.

# 2
The following is a DFT calculation (PBE) of a geometry-optimized PuMg2In3 structure.

Unit cell a=3.653 b=3.653 c=10.928 alpha=90.00 beta=90.00 gamma=90.00
Positions (direct):
Pu (0.000, 0.000, 0.000)
Mg (0.000, 0.000, 0.343)
Mg (0.000, 0.000, 0.657)
In (0.500, 0.500, 0.189)
In (0.500, 0.500, 0.500)
In (0.500, 0.500, 0.811)

The total DFT energy (no corrections) is -4.412 eV per atom. As for the energy of formation from the pure elements: -123 meV/atom. As for the space group: No. 123. The value obtained for the polymorph energy (0 for the lowest one) is 0.00 eV per formula unit. For the theoretical density, the calculation gives 7.3 g/cm3.

# 3
The following is a DFT calculation (PBE) of a geometry-optimized PuMg5In4 structure.

Unit cell a=3.221 b=3.221 c=22.937 alpha=90.00 beta=90.00 gamma=90.00
Positions (direct):
Pu (0.000, 0.000, 0.000)
Mg (0.500, 0.500, 0.111)
Mg (0.500, 0.500, 0.305)
Mg (0.500, 0.500, 0.500)
Mg (0.500, 0.500, 0.695)
Mg (0.500, 0.500, 0.889)
In (0.000, 0.000, 0.209)
In (0.000, 0.000, 0.403)
In (0.000, 0.000, 0.597)
In (0.000, 0.000, 0.791)

The total DFT energy (no corrections) is -3.376 eV per atom. As for the energy of formation from the pure elements: -50 meV/atom. As for the space group: No. 123. For the theoretical density, the calculation gives 5.8 g/cm3.

# 4
The following is a DFT calculation (PBE) of a geometry-optimized PuMgIn2 structure.

Unit cell a=6.956 b=7.346 c=8.024 alpha=90.00 beta=90.00 gamma=90.00
Positions (direct):
Pu (0.000, 0.250, 0.037)
Pu (0.000, 0.750, 0.963)
Pu (0.500, 0.250, 0.463)
Pu (0.500, 0.750, 0.537)
Mg (0.000, 0.250, 0.470)
Mg (0.000, 0.750, 0.530)
Mg (0.500, 0.250, 0.030)
Mg (0.500, 0.750, 0.970)
In (0.250, 0.036, 0.750)
In (0.250, 0.464, 0.750)
In (0.250, 0.536, 0.250)
In (0.250, 0.964, 0.250)
In (0.750, 0.036, 0.750)
In (0.750, 0.464, 0.750)
In (0.750, 0.536, 0.250)
In (0.750, 0.964, 0.250)

The total DFT energy (no corrections) is -5.468 eV per atom. As for the energy of formation from the pure elements: -117 meV/atom. As for the space group: No. 74. For the theoretical density, the calculation gives 8.1 g/cm3.

# 5
The following is a DFT calculation (PBE) of a geometry-optimized PuMgIn3 structure.

Unit cell a=16.284 b=16.284 c=5.148 alpha=98.74 beta=98.74 gamma=11.38
Positions (direct):
Pu (0.068, 0.068, 0.316)
Pu (0.932, 0.932, 0.684)
Mg (0.381, 0.381, 0.134)
Mg (0.619, 0.619, 0.866)
In (0.208, 0.208, 0.951)
In (0.334, 0.334, 0.590)
In (0.474, 0.474, 0.225)
In (0.526, 0.526, 0.775)
In (0.666, 0.666, 0.410)
In (0.792, 0.792, 0.049)

The total DFT energy (no corrections) is -4.868 eV per atom. As for the energy of formation from the pure elements: -40 meV/atom. As for the space group: No. 12. For the theoretical density, the calculation gives 7.6 g/cm3.

# 6
The following is a DFT calculation (PBE) of a geometry-optimized PuMg5In3 structure.

Unit cell a=8.887 b=8.887 c=5.943 alpha=90.00 beta=90.00 gamma=120.00
Positions (direct):
Pu (0.000, 0.000, 0.000)
Pu (0.000, 0.000, 0.500)
Mg (0.000, 0.341, 0.250)
Mg (0.000, 0.659, 0.750)
Mg (0.333, 0.667, 0.000)
Mg (0.333, 0.667, 0.500)
Mg (0.341, 0.000, 0.250)
Mg (0.341, 0.341, 0.750)
Mg (0.659, 0.000, 0.750)
Mg (0.659, 0.659, 0.250)
Mg (0.667, 0.333, 0.000)
Mg (0.667, 0.333, 0.500)
In (0.000, 0.327, 0.750)
In (0.000, 0.673, 0.250)
In (0.327, 0.000, 0.750)
In (0.327, 0.327, 0.250)
In (0.673, 0.000, 0.250)
In (0.673, 0.673, 0.750)

The total DFT energy (no corrections) is -3.262 eV per atom. As for the energy of formation from the pure elements: 129 meV/atom. As for the space group: No. 193. For the theoretical density, the calculation gives 5.8 g/cm3.

# 7
The following is a DFT calculation (PBE) of a geometry-optimized Pu2MgIn structure.

Unit cell a=3.215 b=3.215 c=36.155 alpha=90.00 beta=90.00 gamma=120.00
Positions (direct):
Pu (0.000, 0.000, 0.090)
Pu (0.000, 0.000, 0.910)
Pu (0.333, 0.667, 0.577)
Pu (0.333, 0.667, 0.757)
Pu (0.667, 0.333, 0.243)
Pu (0.667, 0.333, 0.423)
Mg (0.000, 0.000, 0.000)
Mg (0.333, 0.667, 0.667)
Mg (0.667, 0.333, 0.333)
In (0.000, 0.000, 0.500)
In (0.333, 0.667, 0.167)
In (0.667, 0.333, 0.833)

The total DFT energy (no corrections) is -8.026 eV per atom. As for the energy of formation from the pure elements: 223 meV/atom. As for the space group: No. 166. For the theoretical density, the calculation gives 9.7 g/cm3.

# 8
The following is a DFT calculation (PBE) of a geometry-optimized PuMg2In9 structure.

Unit cell a=4.626 b=4.626 c=14.060 alpha=90.00 beta=90.00 gamma=90.00
Positions (direct):
Pu (0.000, 0.000, 0.000)
Mg (0.000, 0.000, 0.330)
Mg (0.000, 0.000, 0.670)
In (0.000, 0.500, 0.169)
In (0.000, 0.500, 0.500)
In (0.000, 0.500, 0.831)
In (0.500, 0.000, 0.169)
In (0.500, 0.000, 0.500)
In (0.500, 0.000, 0.831)
In (0.500, 0.500, 0.000)
In (0.500, 0.500, 0.333)
In (0.500, 0.500, 0.667)

The total DFT energy (no corrections) is -3.596 eV per atom. As for the energy of formation from the pure elements: -82 meV/atom. As for the space group: No. 123. For the theoretical density, the calculation gives 7.3 g/cm3.